BeTeI2Cl: relaxed, GGA-PBEsol.

Cell lengths 5.0528, 5.0528, 5.0573 Å; angles 90.00, 90.00, 90.00 degrees
Element x y z (fractional)
Te 0.0000 0.0000 0.5000
Be 0.0000 0.0000 0.0000
I 0.5000 0.0000 0.0000
Cl 0.5000 0.5000 0.5000
I 0.0000 0.5000 0.0000

Properties
mass density = 5477 kg/m³
raw formation energy = 193 meV per atom
SG = No. 123
DOS at the Fermi energy = 3.936 states/eV/f.u.